(1)
{
  "formula": "Pu2CdGe3Au4",
  "functional": "PBE",
  "state": "optimized geometry",
  "final_energy_ry_per_atom": -0.436,
  "sg": "No. 115",
  "magmom_total_mub_per_atom": 1.11,
  "cell": [[4.369, 0.000, 0.000], [0.000, 4.369, 0.000], [0.000, 0.000, 11.266]],
  "species": ["Au", "Ge", "Au", "Cd", "Ge", "Pu", "Au", "Ge", "Pu", "Au"],
  "fractional_positions": [[0.000, 0.000, 0.000], [0.500, 0.000, 0.866], [0.500, 0.000, 0.646], [0.500, 0.500, 0.500], [0.000, 0.000, 0.500], [0.000, 0.500, 0.769], [0.500, 0.500, 0.000], [0.000, 0.500, 0.134], [0.500, 0.000, 0.231], [0.000, 0.500, 0.354]]
}

---

(2)
{
  "formula": "Nd6CO5",
  "functional": "PBE",
  "state": "optimized geometry",
  "raw_formation_energy_ev_per_atom": -2.372,
  "final_energy_ry_per_atom": -0.558,
  "sg": "No. 12",
  "magmom_total_mub_per_atom": 0.00,
  "cell": [[-3.898, 3.552, -3.364], [-2.264, -4.282, 3.958], [2.004, 4.273, 4.124]],
  "species": ["C", "O", "Nd", "Nd", "O", "Nd", "O", "Nd", "O", "Nd", "Nd", "O"],
  "fractional_positions": [[0.000, 0.000, 0.000], [0.500, 0.500, 0.500], [0.411, 0.083, 0.248], [0.249, 0.249, 0.754], [0.332, 0.668, 0.000], [0.917, 0.589, 0.752], [0.668, 0.332, 0.000], [0.083, 0.411, 0.248], [0.160, 0.840, 0.500], [0.751, 0.751, 0.246], [0.589, 0.917, 0.752], [0.840, 0.160, 0.500]]
}

---

(3)
{
  "formula": "SbTe2Os",
  "functional": "PBE",
  "state": "optimized geometry",
  "raw_formation_energy_ev_per_atom": 0.928,
  "final_energy_ry_per_atom": -0.329,
  "sg": "No. 47",
  "magmom_total_mub_per_atom": 0.00,
  "cell": [[3.342, 0.000, 0.000], [0.000, 5.198, 0.000], [0.000, 0.000, 5.140]],
  "species": ["Te", "Os", "Te", "Sb"],
  "fractional_positions": [[0.000, 0.000, 0.000], [0.500, 0.000, 0.500], [0.500, 0.500, 0.000], [0.000, 0.500, 0.500]]
}

---

(4)
{
  "formula": "Sr4AcTl2",
  "functional": "PBE",
  "state": "optimized geometry",
  "final_energy_ry_per_atom": -0.169,
  "sg": "No. 166",
  "magmom_total_mub_per_atom": 0.00,
  "cell": [[-5.705, 0.488, 0.897], [-3.682, -0.453, -4.453], [-3.803, -10.953, 0.488]],
  "species": ["Tl", "Ac", "Sr", "Sr", "Tl", "Sr", "Sr"],
  "fractional_positions": [[0.599, 0.599, 0.203], [0.500, 0.500, 0.500], [0.297, 0.297, 0.108], [0.902, 0.902, 0.295], [0.401, 0.401, 0.797], [0.098, 0.098, 0.705], [0.703, 0.703, 0.892]]
}

---

(5)
{
  "formula": "TcNiIr",
  "functional": "PBE",
  "state": "optimized geometry",
  "final_energy_ry_per_atom": -0.621,
  "sg": "No. 11",
  "magmom_total_mub_per_atom": 0.00,
  "relative_energy_kj_per_mol_fu": 7,
  "cell": [[-3.775, -1.400, 1.556], [0.847, -4.817, -2.279], [2.961, -0.956, 6.323]],
  "species": ["Tc", "Ir", "Ni", "Ni", "Ir", "Ni", "Tc", "Ni", "Ir", "Tc", "Tc", "Ir"],
  "fractional_positions": [[0.250, 0.309, 0.733], [0.250, 0.471, 0.384], [0.250, 0.638, 0.051], [0.750, 0.362, 0.949], [0.750, 0.529, 0.616], [0.750, 0.862, 0.949], [0.250, 0.809, 0.733], [0.250, 0.138, 0.051], [0.250, 0.971, 0.384], [0.750, 0.691, 0.267], [0.750, 0.191, 0.267], [0.750, 0.029, 0.616]]
}

---

(6)
{
  "formula": "Tb4Cd2InGa",
  "functional": "PBE",
  "state": "optimized geometry",
  "final_energy_ry_per_atom": -0.272,
  "sg": "No. 166",
  "magmom_total_mub_per_atom": 0.00,
  "cell": [[-4.914, -1.570, -1.030], [-1.379, -1.273, -4.915], [0.197, -9.090, -0.517]],
  "species": ["Cd", "Cd", "Tb", "In", "Tb", "Ga", "Tb", "Tb"],
  "fractional_positions": [[0.747, 0.747, 0.758], [0.253, 0.253, 0.242], [0.871, 0.871, 0.386], [0.000, 0.000, 0.000], [0.621, 0.621, 0.138], [0.500, 0.500, 0.500], [0.379, 0.379, 0.862], [0.129, 0.129, 0.614]]
}